Crystalline DyAlCo2 at its relaxed geometry. Source: the Alexandria database, functional PBE-GGA.

ΔE_f = -0.2399 eV/atom
D(E_F) = 2.1 states/eV/cell

a = 3.106 Å, b = 3.106 Å, c = 6.241 Å
α = 90.00°, β = 90.00°, γ = 90.00°
Space group P4/mmm (No. 123)
Unique sites:
Dy (0.000, 0.000, 0.000) (multiplicity 1)
Al (0.000, 0.000, 0.500) (multiplicity 1)
Co (0.500, 0.500, 0.292) (multiplicity 2)